(1)
Compound: TiV4Ir5
Source: Alexandria
Functional: PBE
Structure: optimized geometry

extended XYZ file:
```
10
Lattice="2.7816 0.0000 0.0000 0.0000 2.7816 0.0000 0.0000 0.0000 18.2971" Properties=species:S:1:pos:R:3 pbc="T T T"
Ti 0.0000 0.0000 0.0000
V 0.0000 0.0000 3.6877
V 0.0000 0.0000 7.3264
V 0.0000 0.0000 10.9707
V 0.0000 0.0000 14.6094
Ir 1.3908 1.3908 1.9059
Ir 1.3908 1.3908 5.5036
Ir 1.3908 1.3908 9.1485
Ir 1.3908 1.3908 12.7935
Ir 1.3908 1.3908 16.3912
```

Calculated values
Energy relative to the elements: -0.552 eV per atom
Raw total energy: -94.20 eV/cell

(2)
Compound: Re2TcSe
Source: Alexandria
Functional: PBE
Structure: optimized geometry

extended XYZ file:
```
4
Lattice="-1.6789 -3.9585 -1.3325 -0.7135 -1.1432 4.2951 -2.7236 1.1999 -0.1331" Properties=species:S:1:pos:R:3 pbc="T T T"
Re 0.0000 0.0000 0.0000
Re -1.1962 -2.5509 1.4813
Se -2.2012 -1.3793 -0.7328
Tc -1.7185 0.0283 2.0810
```

Calculated values
Raw formation energy: 563 meV/atom
Raw total energy: -36.50 eV/cell

(3)
Compound: Be2AgSb
Source: Alexandria
Functional: PBE
Structure: optimized geometry

extended XYZ file:
```
4
Lattice="-1.6144 2.4822 0.7776 -1.0234 0.2356 -2.8757 -5.3744 -3.9923 1.5857" Properties=species:S:1:pos:R:3 pbc="T T T"
Sb -2.6626 0.3608 -0.6526
Ag -5.3498 -1.6354 0.1402
Be -5.0081 -3.7202 1.4776
Be -3.0536 -2.2683 0.9009
```

Calculated values
Raw formation energy: 501 meV/atom
Raw total energy: -12.42 eV/cell

(4)
Compound: ReTc2Ir
Source: Alexandria
Functional: PBE
Structure: optimized geometry

extended XYZ file:
```
4
Lattice="4.7720 -0.0024 0.0000 -1.6073 4.4932 0.0000 0.0000 0.0000 2.7312" Properties=species:S:1:pos:R:3 pbc="T T T"
Ir 2.3860 -0.0012 1.3656
Re -0.8037 2.2466 1.3656
Tc 0.0000 0.0000 0.0000
Tc 1.5823 2.2454 0.0000
```

Calculated values
Distance to the lowest polymorph of the same formula: 114 meV per atom
Energy relative to the elements: -0.065 eV per atom
Raw total energy: -42.30 eV/cell

(5)
Compound: AcEr2P
Source: Alexandria
Functional: PBE
Structure: optimized geometry

extended XYZ file:
```
4
Lattice="-0.0165 3.5180 1.3904 -3.1254 2.1168 -0.2469 -4.2878 -1.8194 9.6985" Properties=species:S:1:pos:R:3 pbc="T T T"
P -3.7148 1.9077 5.4210
Ac 0.0000 0.0000 0.0000
Er -3.1569 -0.5290 6.4469
Er -4.2727 4.3443 4.3950
```

Calculated values
Energy relative to the elements: -0.572 eV per atom
Raw total energy: -20.93 eV/cell

(6)
Compound: MnCdTc2N
Source: Alexandria
Functional: PBE
Structure: optimized geometry

extended XYZ file:
```
5
Lattice="-1.2041 2.1215 3.3169 -3.9210 -0.3307 -1.2119 -0.3472 -3.4064 2.0527" Properties=species:S:1:pos:R:3 pbc="T T T"
N 0.0000 0.0000 0.0000
Mn -0.1736 -1.7032 1.0263
Tc -1.9605 -0.1653 -0.6059
Tc -0.6020 1.0607 1.6585
Cd -2.7361 -0.8078 2.0789
```

Calculated values
Raw formation energy: 58 meV/atom
Raw total energy: -38.85 eV/cell

no.,DOS at the Fermi energy (states/eV/atom)
1,1.13
2,0.87
3,0.31
4,1.08
5,1.15
6,0.57